# 1
The following is a DFT calculation (PBE-GGA) of a geometry-optimized YP2SCl structure.

Cell and atoms, written as CIF:
```
data_YP2SCl
_chemical_formula_sum 'Y1 P2 S1 Cl1'
_space_group_name_H-M_alt 'P 4/m m m'
_space_group_IT_number 123
_space_group_name_Hall '-P 4 2'
_cell_length_a 5.4909
_cell_length_b 5.4909
_cell_length_c 5.0620
_cell_angle_alpha 90.00
_cell_angle_beta 90.00
_cell_angle_gamma 90.00
loop_
_atom_site_label
_atom_site_fract_x
_atom_site_fract_y
_atom_site_fract_z
Y1 0.0000 0.0000 0.0000
P1 0.0000 0.5000 0.0000
S1 0.5000 0.5000 0.5000
Cl1 0.0000 0.0000 0.5000
```

Properties
- Offset from the most stable computed form: 465.9 meV per atom
- DOS(E_F): 0.83 states/eV per atom
- Calculated total energy: -4.250 eV/atom
- Raw formation energy: 38.7 kJ/mol of atoms
- Theoretical density: 2.38 g/cm³


# 2
The following is a DFT calculation (PBE-GGA) of a geometry-optimized PdSBrN2 structure.

Cell and atoms, written as CIF:
```
data_PdSBrN2
_chemical_formula_sum 'Pd1 S1 Br1 N2'
_space_group_name_H-M_alt 'P 4/m m m'
_space_group_IT_number 123
_space_group_name_Hall '-P 4 2'
_cell_length_a 3.6688
_cell_length_b 3.6688
_cell_length_c 6.8404
_cell_angle_alpha 90.00
_cell_angle_beta 90.00
_cell_angle_gamma 90.00
loop_
_atom_site_label
_atom_site_fract_x
_atom_site_fract_y
_atom_site_fract_z
Pd1 0.0000 0.0000 0.0000
S1 0.5000 0.5000 0.0000
Br1 0.5000 0.5000 0.5000
N1 0.0000 0.5000 0.5000
```

Properties
- Offset from the most stable computed form: 560.0 meV per atom
- DOS(E_F): 0.95 states/eV per atom
- Calculated total energy: -3.396 eV/atom
- Raw formation energy: 205.8 kJ/mol of atoms
- Theoretical density: 4.44 g/cm³


# 3
The following is a DFT calculation (PBE-GGA) of a geometry-optimized GaIrS2Cl structure.

Cell and atoms, written as CIF:
```
data_GaIrS2Cl
_chemical_formula_sum 'Ga1 Ir1 S2 Cl1'
_space_group_name_H-M_alt 'P 4/m m m'
_space_group_IT_number 123
_space_group_name_Hall '-P 4 2'
_cell_length_a 4.6237
_cell_length_b 4.6237
_cell_length_c 5.1344
_cell_angle_alpha 90.00
_cell_angle_beta 90.00
_cell_angle_gamma 90.00
loop_
_atom_site_label
_atom_site_fract_x
_atom_site_fract_y
_atom_site_fract_z
Ga1 0.0000 0.0000 0.0000
Ir1 0.5000 0.5000 0.5000
S1 0.0000 0.5000 0.5000
Cl1 0.5000 0.5000 0.0000
```

Properties
- Offset from the most stable computed form: 0.0 meV per atom
- DOS(E_F): 1.05 states/eV per atom
- Calculated total energy: -4.247 eV/atom
- Raw formation energy: 14.5 kJ/mol of atoms
- Theoretical density: 5.47 g/cm³


# 4
The following is a DFT calculation (PBE-GGA) of a geometry-optimized Rb2LiDyF6 structure.

Cell and atoms, written as CIF:
```
data_Rb2LiDyF6
_chemical_formula_sum 'Rb4 Li2 Dy2 F12'
_space_group_name_H-M_alt 'C 1 2/m 1'
_space_group_IT_number 12
_space_group_name_Hall '-C 2y'
_cell_length_a 10.6371
_cell_length_b 6.1387
_cell_length_c 6.1390
_cell_angle_alpha 90.00
_cell_angle_beta 125.25
_cell_angle_gamma 90.00
loop_
_atom_site_label
_atom_site_fract_x
_atom_site_fract_y
_atom_site_fract_z
Rb1 0.2500 0.0000 0.2500
Li1 0.0000 0.0000 0.5000
Dy1 0.0000 0.5000 0.0000
F1 0.0006 0.2479 0.2527
F2 0.2481 0.0000 0.7491
```

Properties
- DOS(E_F): 0.00 states/eV per atom
- Calculated total energy: -5.320 eV/atom
- Raw formation energy: -323.4 kJ/mol of atoms
- Theoretical density: 4.61 g/cm³


# 5
The following is a DFT calculation (PBE-GGA) of a geometry-optimized SiAsPO2 structure.

Cell and atoms, written as CIF:
```
data_SiAsPO2
_chemical_formula_sum 'Si1 As1 P1 O2'
_space_group_name_H-M_alt 'P 4/m m m'
_space_group_IT_number 123
_space_group_name_Hall '-P 4 2'
_cell_length_a 3.3791
_cell_length_b 3.3791
_cell_length_c 6.3962
_cell_angle_alpha 90.00
_cell_angle_beta 90.00
_cell_angle_gamma 90.00
loop_
_atom_site_label
_atom_site_fract_x
_atom_site_fract_y
_atom_site_fract_z
Si1 0.0000 0.0000 0.0000
As1 0.5000 0.5000 0.5000
P1 0.0000 0.0000 0.5000
O1 0.0000 0.5000 0.0000
```

Properties
- Offset from the most stable computed form: 0.0 meV per atom
- DOS(E_F): 0.43 states/eV per atom
- Calculated total energy: -5.886 eV/atom
- Raw formation energy: -77.8 kJ/mol of atoms
- Theoretical density: 3.77 g/cm³


# 6
The following is a DFT calculation (PBE-GGA) of a geometry-optimized Tm2HSe3 structure.

Cell and atoms, written as CIF:
```
data_Tm2HSe3
_chemical_formula_sum 'Tm8 H4 Se12'
_space_group_name_H-M_alt 'P n m a'
_space_group_IT_number 62
_space_group_name_Hall '-P 2ac 2n'
_cell_length_a 10.7100
_cell_length_b 3.8261
_cell_length_c 11.6738
_cell_angle_alpha 90.00
_cell_angle_beta 90.00
_cell_angle_gamma 90.00
loop_
_atom_site_label
_atom_site_fract_x
_atom_site_fract_y
_atom_site_fract_z
Tm1 0.0508 0.2500 0.1759
Tm2 0.1975 0.2500 0.5170
H1 0.1349 0.7500 0.1239
Se1 0.0666 0.7500 0.3736
Se2 0.1186 0.2500 0.9358
Se3 0.1813 0.7500 0.6938
```

Properties
- Offset from the most stable computed form: 0.0 meV per atom
- DOS(E_F): 0.56 states/eV per atom
- Calculated total energy: -5.140 eV/atom
- Theoretical density: 7.99 g/cm³


# 7
The following is a DFT calculation (PBE-GGA) of a geometry-optimized Na2Dy2PaSe6 structure.

Cell and atoms, written as CIF:
```
data_Na2Dy2PaSe6
_chemical_formula_sum 'Na4 Dy4 Pa2 Se12'
_space_group_name_H-M_alt 'C 1 2/m 1'
_space_group_IT_number 12
_space_group_name_Hall '-C 2y'
_cell_length_a 7.1963
_cell_length_b 12.4222
_cell_length_c 7.4659
_cell_angle_alpha 90.00
_cell_angle_beta 108.82
_cell_angle_gamma 90.00
loop_
_atom_site_label
_atom_site_fract_x
_atom_site_fract_y
_atom_site_fract_z
Na1 0.0000 0.1681 0.0000
Dy1 0.0000 0.3338 0.5000
Pa1 0.0000 0.0000 0.5000
Se1 0.2403 0.1663 0.7262
Se2 0.2461 0.5000 0.7257
```

Properties
- DOS(E_F): 0.20 states/eV per atom
- Calculated total energy: -5.441 eV/atom
- Raw formation energy: -154.4 kJ/mol of atoms
- Theoretical density: 5.66 g/cm³


# 8
The following is a DFT calculation (PBE-GGA) of a geometry-optimized LiCaCuSi structure.

Cell and atoms, written as CIF:
```
data_LiCaCuSi
_chemical_formula_sum 'Li4 Ca4 Cu4 Si4'
_space_group_name_H-M_alt 'F -4 3 m'
_space_group_IT_number 216
_space_group_name_Hall 'F -4 2 3'
_cell_length_a 6.3949
_cell_length_b 6.3949
_cell_length_c 6.3949
_cell_angle_alpha 90.00
_cell_angle_beta 90.00
_cell_angle_gamma 90.00
loop_
_atom_site_label
_atom_site_fract_x
_atom_site_fract_y
_atom_site_fract_z
Li1 0.0000 0.0000 0.0000
Ca1 0.2500 0.2500 0.2500
Cu1 0.0000 0.0000 0.5000
Si1 0.2500 0.2500 0.7500
```

Properties
- DOS(E_F): 0.07 states/eV per atom
- Calculated total energy: -3.606 eV/atom
- Raw formation energy: -23.9 kJ/mol of atoms
- Theoretical density: 3.52 g/cm³